Entry 1:
# GGA-PBE HfBe2Pt, relaxed
data_HfBe2Pt
_chemical_formula_sum 'Hf2 Be4 Pt2'
_symmetry_space_group_name_H-M 'I m m m'
_symmetry_Int_Tables_number 71
_symmetry_space_group_name_Hall '-I 2 2'
_cell_length_a 3.2014
_cell_length_b 4.2247
_cell_length_c 9.9652
_cell_angle_alpha 90.00
_cell_angle_beta 90.00
_cell_angle_gamma 90.00
loop_
_atom_site_label
_atom_site_type_symbol
_atom_site_fract_x
_atom_site_fract_y
_atom_site_fract_z
Hf1 Hf 0.0000 0.0000 0.0000
Be1 Be 0.0000 0.0000 0.2757
Pt1 Pt 0.0000 0.0000 0.5000
# Energy of formation from the pure elements   0.20 eV/atom
# Uncorrected energy   -45.31 eV per cell
# Spin magnetization   0.00 μB per cell
# V   16.8 Å³/atom
# Excess energy over the best structure of this formula in the dataset   2.90 eV per formula unit



Entry 2:
# GGA-PBE HfBe2Pt3, relaxed
data_HfBe2Pt3
_chemical_formula_sum 'Hf1 Be2 Pt3'
_symmetry_space_group_name_H-M 'P 4/m m m'
_symmetry_Int_Tables_number 123
_symmetry_space_group_name_Hall '-P 4 2'
_cell_length_a 2.8602
_cell_length_b 2.8602
_cell_length_c 9.9133
_cell_angle_alpha 90.00
_cell_angle_beta 90.00
_cell_angle_gamma 90.00
loop_
_atom_site_label
_atom_site_type_symbol
_atom_site_fract_x
_atom_site_fract_y
_atom_site_fract_z
Hf1 Hf 0.0000 0.0000 0.0000
Be1 Be 0.0000 0.0000 0.3532
Pt1 Pt 0.5000 0.5000 0.2099
Pt2 Pt 0.5000 0.5000 0.5000
# Energy of formation from the pure elements   -0.85 eV/atom
# Uncorrected energy   -40.60 eV per cell
# Spin magnetization   0.00 μB per cell
# V   13.5 Å³/atom



Entry 3:
# GGA-PBE HfBe2Pt, relaxed
data_HfBe2Pt
_chemical_formula_sum 'Hf4 Be8 Pt4'
_symmetry_space_group_name_H-M 'I 41/a m d'
_symmetry_Int_Tables_number 141
_cell_length_a 3.9786
_cell_length_b 3.9786
_cell_length_c 16.0035
_cell_angle_alpha 90.00
_cell_angle_beta 90.00
_cell_angle_gamma 90.00
loop_
_symmetry_equiv_pos_as_xyz
'x,y,z'
'-x,-y,-z'
'-y+1/4,x+3/4,z+1/4'
'y+1/4,-x+3/4,-z+1/4'
'-x+1/2,-y,z+1/2'
'x+1/2,y,-z+1/2'
'y+1/4,-x+1/4,z+3/4'
'-y+1/4,x+1/4,-z+3/4'
'x,-y,-z'
'-x,y,z'
'-y+1/4,-x+1/4,-z+3/4'
'y+1/4,x+1/4,z+3/4'
'-x+1/2,y,-z+1/2'
'x+1/2,-y,z+1/2'
'y+1/4,x+3/4,-z+1/4'
'-y+1/4,-x+3/4,z+1/4'
'x+1/2,y+1/2,z+1/2'
'-x+1/2,-y+1/2,-z+1/2'
'-y+3/4,x+1/4,z+3/4'
'y+3/4,-x+1/4,-z+3/4'
'-x,-y+1/2,z'
'x,y+1/2,-z'
'y+3/4,-x+3/4,z+1/4'
'-y+3/4,x+3/4,-z+1/4'
'x+1/2,-y+1/2,-z+1/2'
'-x+1/2,y+1/2,z+1/2'
'-y+3/4,-x+3/4,-z+1/4'
'y+3/4,x+3/4,z+1/4'
'-x,y+1/2,-z'
'x,-y+1/2,z'
'y+3/4,x+1/4,-z+3/4'
'-y+3/4,-x+1/4,z+3/4'
loop_
_atom_site_label
_atom_site_type_symbol
_atom_site_fract_x
_atom_site_fract_y
_atom_site_fract_z
Hf1 Hf 0.0000 0.2500 0.3750
Be1 Be 0.0000 0.0000 0.0000
Pt1 Pt 0.0000 0.2500 0.8750
# Energy of formation from the pure elements   -0.11 eV/atom
# Uncorrected energy   -95.60 eV per cell
# Spin magnetization   0.00 μB per cell
# V   15.8 Å³/atom
# Excess energy over the best structure of this formula in the dataset   1.65 eV per formula unit



Entry 4:
# GGA-PBE HfBePt2, relaxed
data_HfBePt2
_chemical_formula_sum 'Hf8 Be8 Pt16'
_symmetry_space_group_name_H-M 'P n m a'
_symmetry_Int_Tables_number 62
_symmetry_space_group_name_Hall '-P 2ac 2n'
_cell_length_a 13.2335
_cell_length_b 6.9740
_cell_length_c 5.1406
_cell_angle_alpha 90.00
_cell_angle_beta 90.00
_cell_angle_gamma 90.00
loop_
_atom_site_label
_atom_site_type_symbol
_atom_site_fract_x
_atom_site_fract_y
_atom_site_fract_z
Hf1 Hf 0.1119 0.2500 0.2297
Hf2 Hf 0.1384 0.7500 0.0034
Be1 Be 0.0676 0.7500 0.5149
Be2 Be 0.1807 0.2500 0.7315
Pt1 Pt 0.0326 0.0495 0.7535
Pt2 Pt 0.2147 0.5513 0.5030
# Energy of formation from the pure elements   -1.02 eV/atom
# Uncorrected energy   -238.67 eV per cell
# Spin magnetization   0.00 μB per cell
# V   14.8 Å³/atom
# Excess energy over the best structure of this formula in the dataset   0.00 eV per formula unit



Entry 5:
# GGA-PBE HfBe2Pt2, relaxed
data_HfBe2Pt2
_chemical_formula_sum 'Hf2 Be4 Pt4'
_symmetry_space_group_name_H-M 'P 4/m b m'
_symmetry_Int_Tables_number 127
_symmetry_space_group_name_Hall '-P 4 2ab'
_cell_length_a 7.1022
_cell_length_b 7.1022
_cell_length_c 2.7878
_cell_angle_alpha 90.00
_cell_angle_beta 90.00
_cell_angle_gamma 90.00
loop_
_atom_site_label
_atom_site_type_symbol
_atom_site_fract_x
_atom_site_fract_y
_atom_site_fract_z
Hf1 Hf 0.0000 0.0000 0.0000
Be1 Be 0.1524 0.3476 0.5000
Pt1 Pt 0.1424 0.6424 0.0000
# Energy of formation from the pure elements   -0.57 eV/atom
# Uncorrected energy   -64.65 eV per cell
# Spin magnetization   0.00 μB per cell
# V   14.1 Å³/atom
# Excess energy over the best structure of this formula in the dataset   0.86 eV per formula unit



Entry 6:
# GGA-PBE HfBePt2, relaxed
data_HfBePt2
_chemical_formula_sum 'Hf4 Be4 Pt8'
_symmetry_space_group_name_H-M 'I -4 2 d'
_symmetry_Int_Tables_number 122
_symmetry_space_group_name_Hall 'I -4 2bw'
_cell_length_a 4.7798
_cell_length_b 4.7798
_cell_length_c 13.4265
_cell_angle_alpha 90.00
_cell_angle_beta 90.00
_cell_angle_gamma 90.00
loop_
_atom_site_label
_atom_site_type_symbol
_atom_site_fract_x
_atom_site_fract_y
_atom_site_fract_z
Hf1 Hf 0.0000 0.0000 0.0000
Be1 Be 0.0000 0.0000 0.5000
Pt1 Pt 0.1557 0.2500 0.6250
# Energy of formation from the pure elements   -0.35 eV/atom
# Uncorrected energy   -108.67 eV per cell
# Spin magnetization   0.00 μB per cell
# V   19.2 Å³/atom
# Excess energy over the best structure of this formula in the dataset   2.67 eV per formula unit



Entry 7:
# GGA-PBE HfBe2Pt2, relaxed
data_HfBe2Pt2
_chemical_formula_sum 'Hf2 Be4 Pt4'
_symmetry_space_group_name_H-M 'I 4/m m m'
_symmetry_Int_Tables_number 139
_symmetry_space_group_name_Hall '-I 4 2'
_cell_length_a 3.4374
_cell_length_b 3.4374
_cell_length_c 12.3404
_cell_angle_alpha 90.00
_cell_angle_beta 90.00
_cell_angle_gamma 90.00
loop_
_atom_site_label
_atom_site_type_symbol
_atom_site_fract_x
_atom_site_fract_y
_atom_site_fract_z
Hf1 Hf 0.0000 0.0000 0.0000
Be1 Be 0.0000 0.5000 0.2500
Pt1 Pt 0.0000 0.0000 0.3847
# Energy of formation from the pure elements   -0.73 eV/atom
# Uncorrected energy   -66.23 eV per cell
# Spin magnetization   0.00 μB per cell
# V   14.6 Å³/atom
# Excess energy over the best structure of this formula in the dataset   0.07 eV per formula unit



Entry 8:
# GGA-PBE HfBe4Pt, relaxed
data_HfBe4Pt
_chemical_formula_sum 'Hf4 Be16 Pt4'
_symmetry_space_group_name_H-M 'F -4 3 m'
_symmetry_Int_Tables_number 216
_symmetry_space_group_name_Hall 'F -4 2 3'
_cell_length_a 6.4778
_cell_length_b 6.4778
_cell_length_c 6.4778
_cell_angle_alpha 90.00
_cell_angle_beta 90.00
_cell_angle_gamma 90.00
loop_
_atom_site_label
_atom_site_type_symbol
_atom_site_fract_x
_atom_site_fract_y
_atom_site_fract_z
Hf1 Hf 0.0000 0.0000 0.0000
Be1 Be 0.1280 0.1280 0.3720
Pt1 Pt 0.2500 0.2500 0.7500
# Energy of formation from the pure elements   -0.34 eV/atom
# Uncorrected energy   -131.66 eV per cell
# Spin magnetization   1.98 μB per cell
# V   11.3 Å³/atom



Entry 9:
# GGA-PBE Hf2Be3Pt2, relaxed
data_Hf2Be3Pt2
_chemical_formula_sum 'Hf4 Be6 Pt4'
_symmetry_space_group_name_H-M 'C 1 2/m 1'
_symmetry_Int_Tables_number 12
_symmetry_space_group_name_Hall '-C 2y'
_cell_length_a 9.1257
_cell_length_b 4.0720
_cell_length_c 5.8911
_cell_angle_alpha 90.00
_cell_angle_beta 111.88
_cell_angle_gamma 90.00
loop_
_atom_site_label
_atom_site_type_symbol
_atom_site_fract_x
_atom_site_fract_y
_atom_site_fract_z
Hf1 Hf 0.1536 0.0000 0.2515
Be1 Be 0.0000 0.5000 0.5000
Be2 Be 0.1004 0.5000 0.9275
Pt1 Pt 0.1413 0.0000 0.7179
# Energy of formation from the pure elements   -0.68 eV/atom
# Uncorrected energy   -95.87 eV per cell
# Spin magnetization   0.00 μB per cell
# V   14.5 Å³/atom



Entry 10:
# GGA-PBE Hf2Be2Pt, relaxed
data_Hf2Be2Pt
_chemical_formula_sum 'Hf4 Be4 Pt2'
_symmetry_space_group_name_H-M 'P 4/m b m'
_symmetry_Int_Tables_number 127
_symmetry_space_group_name_Hall '-P 4 2ab'
_cell_length_a 6.3586
_cell_length_b 6.3586
_cell_length_c 3.6494
_cell_angle_alpha 90.00
_cell_angle_beta 90.00
_cell_angle_gamma 90.00
loop_
_atom_site_label
_atom_site_type_symbol
_atom_site_fract_x
_atom_site_fract_y
_atom_site_fract_z
Hf1 Hf 0.1733 0.3267 0.0000
Be1 Be 0.1223 0.6223 0.5000
Pt1 Pt 0.0000 0.0000 0.5000
# Energy of formation from the pure elements   -0.65 eV/atom
# Uncorrected energy   -73.33 eV per cell
# Spin magnetization   0.00 μB per cell
# V   14.8 Å³/atom